Entry from the Alexandria database: a relaxed RbVSi2N crystal (PBE).

Properties
Calculated density, Mg/m³: 3.58
Space group: P4/mmm (123)

Cell: 4.955 3.899 4.955 Å, 90.00 90.00 90.00°
Each line ends with the local moment (μB).
Fractional positions:
Rb  0.500  0.500  0.500  0.01
V  0.000  0.500  0.000  0.22
Si  0.500  0.000  0.000  0.03
Si  0.000  0.000  0.500  0.00
N  0.000  0.000  0.000  0.02

Entry from the Alexandria database: a relaxed RbSm2N crystal (PBE).

Properties
Calculated density, Mg/m³: 5.38
Space group: R-3m (166)

Cell: 3.662 3.662 10.843 Å, 80.28 80.28 60.00°
Each line ends with the local moment (μB).
Fractional positions:
Sm  0.125  0.125  0.625  0.16
Sm  0.875  0.875  0.375  0.16
N  0.500  0.500  0.500  0.00
Rb  0.000  0.000  0.000  0.03

Entry from the Alexandria database: a relaxed RbSmN crystal (PBE).

Properties
Calculated density, Mg/m³: 3.69
Space group: C2/m (12)

Cell: 3.735 7.067 8.723 Å, 90.43 102.36 90.00°
Fractional positions:
Sm  0.792  0.171  0.584
Sm  0.208  0.829  0.416
Rb  0.079  0.245  0.157
Rb  0.921  0.755  0.843
N  0.679  0.004  0.358
N  0.321  0.996  0.642

Number 1: E_form (uncorrected) 0.9656 eV/atom. Number 2: E_form (uncorrected) -0.4615 eV/atom. Number 3: E_form (uncorrected) -0.5271 eV/atom.